# 1
Entry from OQMD: a relaxed structure of PrSbN2O (PBE-GGA).

abc: 5.774 5.779 9.845
angles: 73.32 73.40 60.19
Fractional positions:
Pr  0.000  0.000  0.000
Pr  0.213  0.230  0.264
Pr  0.496  0.472  0.530
Pr  0.728  0.737  0.765
Sb  0.113  0.130  0.637
Sb  0.367  0.350  0.898
Sb  0.615  0.619  0.131
Sb  0.838  0.849  0.389
N  0.002  0.405  0.032
N  0.082  0.488  0.501
N  0.302  0.161  0.774
N  0.431  0.590  0.991
N  0.495  0.895  0.539
N  0.565  0.999  0.032
N  0.730  0.311  0.753
N  0.753  0.627  0.297
O  0.153  0.742  0.760
O  0.177  0.835  0.241
O  0.634  0.234  0.266
O  0.938  0.056  0.493

Properties
space group = P1 (1)
calculated total energy = -6.978 eV per atom

# 2
Entry from OQMD: a relaxed structure of PrSbN2O (PBE-GGA).

abc: 5.554 5.720 6.089
angles: 63.27 65.12 61.09
Fractional positions:
Pr  0.000  0.000  0.000
Pr  0.268  0.261  0.230
Sb  0.490  0.448  0.581
Sb  0.782  0.787  0.652
N  0.174  0.611  0.403
N  0.438  0.068  0.845
N  0.644  0.450  0.839
N  0.828  0.180  0.385
O  0.055  0.643  0.873
O  0.603  0.820  0.379

Properties
space group = P1 (1)
calculated total energy = -6.947 eV per atom

# 3
Entry from OQMD: a relaxed structure of PrSbN2O (PBE-GGA).

abc: 5.731 5.731 5.707
angles: 119.83 119.83 89.44
Fractional positions:
Pr  0.239  0.239  0.481
Pr  0.761  0.761  0.519
Sb  0.000  0.500  0.000
Sb  0.500  0.000  0.000
N  0.200  0.800  0.000
N  0.342  0.342  0.104
N  0.658  0.658  0.896
N  0.800  0.200  0.000
O  0.191  0.809  0.500
O  0.809  0.191  0.500

Properties
space group = C2/m (12)
calculated total energy = -6.980 eV per atom

# 4
Entry from OQMD: a relaxed structure of PrSbNO (PBE-GGA).

abc: 7.042 6.907 5.772
angles: 90.00 90.00 90.00
Fractional positions:
Pr  0.079  0.187  0.000
Pr  0.421  0.187  0.500
Pr  0.579  0.813  0.000
Pr  0.921  0.813  0.500
Sb  0.129  0.690  0.003
Sb  0.371  0.690  0.503
Sb  0.629  0.310  0.003
Sb  0.871  0.310  0.503
N  0.090  0.121  0.571
N  0.410  0.121  0.071
N  0.590  0.879  0.571
N  0.910  0.879  0.071
O  0.036  0.481  0.271
O  0.464  0.481  0.771
O  0.536  0.519  0.271
O  0.964  0.519  0.771

Properties
space group = Pca2_1 (29)
ΔE to the lowest computed polymorph = 238 meV per atom

# 5
Entry from OQMD: a relaxed structure of PrSbN2O (PBE-GGA).

abc: 5.754 8.220 5.675
angles: 90.00 90.00 90.00
Fractional positions:
Pr  0.045  0.250  0.017
Pr  0.455  0.750  0.517
Pr  0.545  0.250  0.483
Pr  0.955  0.750  0.983
Sb  0.000  0.000  0.500
Sb  0.000  0.500  0.500
Sb  0.500  0.000  0.000
Sb  0.500  0.500  0.000
N  0.209  0.549  0.791
N  0.209  0.951  0.791
N  0.291  0.049  0.291
N  0.291  0.451  0.291
N  0.709  0.549  0.709
N  0.709  0.951  0.709
N  0.791  0.049  0.209
N  0.791  0.451  0.209
O  0.020  0.750  0.408
O  0.480  0.250  0.908
O  0.520  0.750  0.092
O  0.980  0.250  0.592

Properties
space group = Pnma (62)
calculated total energy = -6.995 eV per atom

# 6
Entry from OQMD: a relaxed structure of PrSbN2O (PBE-GGA).

abc: 5.742 5.742 5.742
angles: 89.51 120.11 120.47
Fractional positions:
Pr  0.019  0.250  0.269
Pr  0.981  0.750  0.731
Sb  0.501  0.001  0.500
Sb  0.501  0.501  0.000
N  0.002  0.195  0.696
N  0.002  0.806  0.307
N  0.500  0.306  0.304
N  0.500  0.695  0.693
O  0.414  0.756  0.158
O  0.598  0.256  0.842

Properties
space group = Ima2 (46)
calculated total energy = -6.965 eV per atom

# 7
Entry from OQMD: a relaxed structure of PrSbN2O (PBE-GGA).

abc: 3.765 6.416 5.937
angles: 90.00 90.00 90.00
Fractional positions:
Pr  0.000  0.160  0.000
Pr  0.000  0.840  0.500
Sb  0.500  0.324  0.529
Sb  0.500  0.676  0.029
N  0.000  0.211  0.581
N  0.000  0.789  0.081
N  0.500  0.401  0.876
N  0.500  0.599  0.376
O  0.500  0.090  0.280
O  0.500  0.910  0.780

Properties
space group = Pmc2_1 (26)
calculated total energy = -6.998 eV per atom

# 8
Entry from OQMD: a relaxed structure of PrSbNO (PBE-GGA).

abc: 4.526 4.526 7.704
angles: 90.00 90.00 90.00
Fractional positions:
Pr  0.250  0.250  0.127
Pr  0.750  0.750  0.873
Sb  0.250  0.750  0.500
Sb  0.750  0.250  0.500
N  0.250  0.250  0.440
N  0.750  0.750  0.560
O  0.250  0.750  0.000
O  0.750  0.250  0.000

Properties
space group = P4/nmm (129)
ΔE to the lowest computed polymorph = 228 meV per atom

> Number 8 is which compound?

PrSbNO

> What is the formula in the eighth record?

PrSbNO